# Ca2ZnCdN (PBE, relaxed)
# E = -16.33 eV for the cell shown
# ΔE_f (raw) = -0.36 eV per atom
# Crystal system = tetragonal
data_Ca2ZnCdN
_chemical_formula_sum 'Ca2 Zn1 Cd1 N1'
_cell_length_a 5.015
_cell_length_b 5.015
_cell_length_c 4.115
_cell_angle_alpha 90.00
_cell_angle_beta 90.00
_cell_angle_gamma 90.00
_space_group_name_H-M_alt 'P 4/m m m'
_space_group_IT_number 123
_space_group_name_Hall '-P 4 2'
loop_
_atom_site_label
_atom_site_fract_x
_atom_site_fract_y
_atom_site_fract_z
Ca1 0.000 0.500 0.000
Zn1 0.000 0.000 0.500
Cd1 0.500 0.500 0.500
N1 0.000 0.000 0.000

---

# CaZn2CdN (PBE, relaxed)
# E = -8.48 eV for the cell shown
# ΔE_f (raw) = 1.06 eV per atom
# Crystal system = tetragonal
data_CaZn2CdN
_chemical_formula_sum 'Ca1 Zn2 Cd1 N1'
_cell_length_a 4.856
_cell_length_b 4.856
_cell_length_c 6.140
_cell_angle_alpha 90.00
_cell_angle_beta 90.00
_cell_angle_gamma 90.00
_space_group_name_H-M_alt 'P 4/m m m'
_space_group_IT_number 123
_space_group_name_Hall '-P 4 2'
loop_
_atom_site_label
_atom_site_fract_x
_atom_site_fract_y
_atom_site_fract_z
Ca1 0.000 0.000 0.000
Zn1 0.000 0.500 0.500
Cd1 0.000 0.000 0.500
N1 0.500 0.500 0.000

---

# Ca2ZrCdN (PBE, relaxed)
# E = -24.66 eV for the cell shown
# ΔE_f (raw) = -0.57 eV per atom
# Crystal system = tetragonal
data_Ca2ZrCdN
_chemical_formula_sum 'Ca2 Zr1 Cd1 N1'
_cell_length_a 5.016
_cell_length_b 5.016
_cell_length_c 4.398
_cell_angle_alpha 90.00
_cell_angle_beta 90.00
_cell_angle_gamma 90.00
_space_group_name_H-M_alt 'P 4/m m m'
_space_group_IT_number 123
_space_group_name_Hall '-P 4 2'
loop_
_atom_site_label
_atom_site_fract_x
_atom_site_fract_y
_atom_site_fract_z
Ca1 0.000 0.500 0.000
Zr1 0.000 0.000 0.500
Cd1 0.500 0.500 0.500
N1 0.000 0.000 0.000

---

# NaCa4Cd2 (PBE, relaxed)
# Energy above the most stable polymorph in this dataset = 0.0 kJ/mol of atoms
# E = -36.19 eV for the cell shown
# Energy of formation = -0.1297 eV/atom
# Crystal system = trigonal
data_NaCa4Cd2
_chemical_formula_sum 'Na3 Ca12 Cd6'
_cell_length_a 5.6136
_cell_length_b 5.6136
_cell_length_c 25.8495
_cell_angle_alpha 90.00
_cell_angle_beta 90.00
_cell_angle_gamma 120.00
_space_group_name_H-M_alt 'R -3 m'
_space_group_IT_number 166
_space_group_name_Hall '-R 3 2"'
loop_
_atom_site_label
_atom_site_fract_x
_atom_site_fract_y
_atom_site_fract_z
Na1 0.0000 0.0000 0.0000
Ca1 0.0000 0.0000 0.1325
Ca2 0.0000 0.0000 0.3884
Cd1 0.0000 0.0000 0.2574

---

# NaCa5Cd4 (PBE, relaxed)
# E = -17.80 eV for the cell shown
# Energy of formation = -0.2810 eV/atom
# Crystal system = tetragonal
data_NaCa5Cd4
_chemical_formula_sum 'Na1 Ca5 Cd4'
_cell_length_a 3.828
_cell_length_b 3.828
_cell_length_c 20.676
_cell_angle_alpha 90.00
_cell_angle_beta 90.00
_cell_angle_gamma 90.00
_space_group_name_H-M_alt 'P 4/m m m'
_space_group_IT_number 123
_space_group_name_Hall '-P 4 2'
loop_
_atom_site_label
_atom_site_fract_x
_atom_site_fract_y
_atom_site_fract_z
Na1 0.000 0.000 0.000
Ca1 0.500 0.500 0.129
Ca2 0.500 0.500 0.313
Ca3 0.500 0.500 0.500
Cd1 0.000 0.000 0.218
Cd2 0.000 0.000 0.406

---

# NaCa6Cd2 (PBE, relaxed)
# Energy above the most stable polymorph in this dataset = 0.0 kJ/mol of atoms
# E = -65.60 eV for the cell shown
# Energy of formation = -0.1380 eV/atom
# Crystal system = orthorhombic
data_NaCa6Cd2
_chemical_formula_sum 'Na4 Ca24 Cd8'
_cell_length_a 10.510
_cell_length_b 10.547
_cell_length_c 11.750
_cell_angle_alpha 90.00
_cell_angle_beta 90.00
_cell_angle_gamma 90.00
_space_group_name_H-M_alt 'I m m m'
_space_group_IT_number 71
_space_group_name_Hall '-I 2 2'
loop_
_atom_site_label
_atom_site_fract_x
_atom_site_fract_y
_atom_site_fract_z
Na1 0.000 0.000 0.000
Na2 0.000 0.000 0.500
Ca1 0.000 0.298 0.176
Ca2 0.189 0.283 0.500
Ca3 0.208 0.000 0.256
Cd1 0.000 0.500 0.376
Cd2 0.153 0.500 0.000

---

# Na2Ca2Cd (PBE, relaxed)
# Energy above the most stable polymorph in this dataset = 17.0 kJ/mol of atoms
# E = -14.66 eV for the cell shown
# Energy of formation = 0.0455 eV/atom
# Crystal system = tetragonal
data_Na2Ca2Cd
_chemical_formula_sum 'Na4 Ca4 Cd2'
_cell_length_a 7.927
_cell_length_b 7.927
_cell_length_c 5.415
_cell_angle_alpha 90.00
_cell_angle_beta 90.00
_cell_angle_gamma 90.00
_space_group_name_H-M_alt 'P 4/m b m'
_space_group_IT_number 127
_space_group_name_Hall '-P 4 2ab'
loop_
_atom_site_label
_atom_site_fract_x
_atom_site_fract_y
_atom_site_fract_z
Na1 0.134 0.366 0.000
Ca1 0.182 0.682 0.500
Cd1 0.000 0.000 0.000

---

# Na2CaCd (PBE, relaxed)
# E = -5.82 eV for the cell shown
# Energy of formation = -0.0661 eV/atom
# Crystal system = tetragonal
data_Na2CaCd
_chemical_formula_sum 'Na2 Ca1 Cd1'
_cell_length_a 4.744
_cell_length_b 4.744
_cell_length_c 5.604
_cell_angle_alpha 90.00
_cell_angle_beta 90.00
_cell_angle_gamma 90.00
_space_group_name_H-M_alt 'P 4/m m m'
_space_group_IT_number 123
_space_group_name_Hall '-P 4 2'
loop_
_atom_site_label
_atom_site_fract_x
_atom_site_fract_y
_atom_site_fract_z
Na1 0.000 0.500 0.000
Ca1 0.000 0.000 0.500
Cd1 0.500 0.500 0.500

---

# NaCa3Cd7 (PBE, relaxed)
# E = -62.60 eV for the cell shown
# Energy of formation = -0.1746 eV/atom
# Crystal system = orthorhombic
data_NaCa3Cd7
_chemical_formula_sum 'Na4 Ca12 Cd28'
_cell_length_a 3.651
_cell_length_b 22.159
_cell_length_c 15.173
_cell_angle_alpha 90.00
_cell_angle_beta 90.00
_cell_angle_gamma 90.00
_space_group_name_H-M_alt 'C m c m'
_space_group_IT_number 63
_space_group_name_Hall '-C 2c 2'
loop_
_atom_site_label
_atom_site_fract_x
_atom_site_fract_y
_atom_site_fract_z
Na1 0.000 0.027 0.250
Ca1 0.000 0.115 0.544
Ca2 0.000 0.251 0.250
Cd1 0.000 0.259 0.572
Cd2 0.000 0.372 0.655
Cd3 0.000 0.404 0.250
Cd4 0.000 0.496 0.592

---

# Na3CaCd3 (PBE, relaxed)
# E = -13.00 eV for the cell shown
# Energy of formation = 0.3148 eV/atom
# Crystal system = cubic
data_Na3CaCd3
_chemical_formula_sum 'Na6 Ca2 Cd6'
_cell_length_a 8.203
_cell_length_b 8.203
_cell_length_c 8.203
_cell_angle_alpha 90.00
_cell_angle_beta 90.00
_cell_angle_gamma 90.00
_space_group_name_H-M_alt 'P m -3 n'
_space_group_IT_number 223
_space_group_name_Hall '-P 4n 2 3'
loop_
_atom_site_label
_atom_site_fract_x
_atom_site_fract_y
_atom_site_fract_z
Na1 0.000 0.250 0.500
Ca1 0.000 0.000 0.000
Cd1 0.000 0.500 0.250

---

# Na2CaCd (PBE, relaxed)
# E = -16.11 eV for the cell shown
# Energy of formation = 0.0461 eV/atom
# Crystal system = trigonal
data_Na2CaCd
_chemical_formula_sum 'Na6 Ca3 Cd3'
_cell_length_a 3.7507
_cell_length_b 3.7507
_cell_length_c 33.9091
_cell_angle_alpha 90.00
_cell_angle_beta 90.00
_cell_angle_gamma 120.00
_space_group_name_H-M_alt 'R 3 m'
_space_group_IT_number 160
_space_group_name_Hall 'R 3 -2"'
loop_
_atom_site_label
_atom_site_fract_x
_atom_site_fract_y
_atom_site_fract_z
Na1 0.0000 0.0000 0.0000
Na2 0.0000 0.0000 0.1874
Ca1 0.0000 0.0000 0.7599
Cd1 0.0000 0.0000 0.5938

---

# Na2CaCd2 (PBE, relaxed)
# Energy above the most stable polymorph in this dataset = 6.4 kJ/mol of atoms
# E = -13.58 eV for the cell shown
# Energy of formation = -0.0643 eV/atom
# Crystal system = tetragonal
data_Na2CaCd2
_chemical_formula_sum 'Na4 Ca2 Cd4'
_cell_length_a 8.975
_cell_length_b 8.975
_cell_length_c 3.499
_cell_angle_alpha 90.00
_cell_angle_beta 90.00
_cell_angle_gamma 90.00
_space_group_name_H-M_alt 'P 4/m b m'
_space_group_IT_number 127
_space_group_name_Hall '-P 4 2ab'
loop_
_atom_site_label
_atom_site_fract_x
_atom_site_fract_y
_atom_site_fract_z
Na1 0.120 0.380 0.000
Ca1 0.000 0.000 0.000
Cd1 0.181 0.681 0.500